Tm3Mg2AlCuAu2: relaxed, PBE.

## Properties
Mass density, g cm⁻³: 9.10
DFT total energy, eV/atom: -3.99
Size of the total moment, μB per formula unit: 0.003

Geometry as extended XYZ:
```
9
Lattice="3.926 0.000 0.000 0.000 6.499 3.718 0.000 -6.499 3.718" Properties=species:S:1:pos:R:3 pbc="T T T"
Au 1.963 -2.156 3.710
Au 1.963 2.156 3.710
Al 1.963 0.000 1.771
Tm 0.000 -2.611 1.528
Mg 1.963 1.552 6.535
Cu 0.000 0.000 0.138
Tm 0.000 0.000 4.286
Mg 1.963 -1.552 6.535
Tm 0.000 2.611 1.528
```

***

AlCuMoAu: relaxed, PBE.

## Properties
Mass density, g cm⁻³: 10.12
Energy above the lowest structure with this stoichiometry, eV/atom: 0.000
Size of the total moment, μB per formula unit: 1.990

Geometry as extended XYZ:
```
4
Lattice="0.000 3.157 3.157 3.157 0.000 3.157 3.157 3.157 0.000" Properties=species:S:1:pos:R:3 pbc="T T T"
Mo 1.578 1.578 1.578
Au 3.157 3.157 3.157
Al 0.000 0.000 0.000
Cu 4.735 4.735 4.735
```

***

Na2Al4CuAu: relaxed, PBE.

## Properties
Mass density, g cm⁻³: 4.59
DFT total energy, eV/atom: -3.24

Geometry as extended XYZ:
```
8
Lattice="7.284 0.000 0.000 0.000 2.116 4.870 0.000 -2.116 4.870" Properties=species:S:1:pos:R:3 pbc="T T T"
Cu 3.642 0.000 7.008
Al 1.470 0.000 8.282
Na 0.000 0.000 5.507
Al 4.999 0.000 1.441
Au 0.000 0.000 2.733
Al 5.814 0.000 8.282
Al 2.285 0.000 1.441
Na 3.642 0.000 4.263
```